(1)
A plane-wave DFT calculation with PBE was carried out for an optimized crystal structure of LiMnTcPt.

M_tot   2.0 μB per formula unit
DFT formation energy   -117 meV per atom
N(E_F)   3.05 states/eV/cell
Space group   F-43m (216)
Volume   52.99 Å³/cell

a = 4.2160 Å, b = 4.2160 Å, c = 4.2160 Å
α = 60.00°, β = 60.00°, γ = 60.00°
Last column: magnetic moment on the atom in μB.
Fractional coordinates of all 4 atoms:
Tc: 0.7500 0.7500 0.7500  -0.85
Pt: 0.2500 0.2500 0.2500  0.16
Mn: 0.0000 0.0000 0.0000  2.73
Li: 0.5000 0.5000 0.5000  -0.02

***

(2)
A plane-wave DFT calculation with PBE was carried out for an optimized crystal structure of Cd3Ag2Au.

M_tot   0.0 μB per formula unit
DFT formation energy   -93 meV per atom
N(E_F)   0.98 states/eV/cell
Space group   P4/mmm (123)
Volume   116.27 Å³/cell

a = 3.0756 Å, b = 3.0756 Å, c = 12.2918 Å
α = 90.00°, β = 90.00°, γ = 90.00°
Fractional coordinates of all 6 atoms:
Ag: 0.5000 0.5000 0.8324
Ag: 0.5000 0.5000 0.1676
Cd: 0.0000 0.0000 0.6658
Cd: 0.0000 0.0000 0.0000
Cd: 0.0000 0.0000 0.3342
Au: 0.5000 0.5000 0.5000

***

(3)
A plane-wave DFT calculation with PBE was carried out for an optimized crystal structure of Mg2ZnW.

M_tot   0.0 μB per formula unit
DFT formation energy   508 meV per atom
N(E_F)   3.27 states/eV/cell
Space group   I-4m2 (119)
Volume   68.12 Å³/cell

a = 5.0380 Å, b = 5.0380 Å, c = 5.0380 Å
α = 132.54°, β = 132.54°, γ = 69.38°
Fractional coordinates of all 4 atoms:
Mg: 0.2500 0.7500 0.5000
Mg: 0.0000 0.0000 0.0000
W: 0.5000 0.5000 0.0000
Zn: 0.7500 0.2500 0.5000

***

(4)
A plane-wave DFT calculation with PBE was carried out for an optimized crystal structure of YCoSe2.

M_tot   1.8 μB per formula unit
N(E_F)   4.25 states/eV/cell
Formation energy without anion corrections   -896.7 meV per atom
Space group   Cm (8)
Volume   84.79 Å³/cell

a = 6.5370 Å, b = 6.5370 Å, c = 3.6825 Å
α = 89.75°, β = 89.75°, γ = 32.60°
Last column: magnetic moment on the atom in μB.
Fractional coordinates of all 4 atoms:
Se: 0.0425 0.0425 0.1242  0.03
Se: 0.7723 0.7723 0.6175  0.08
Co: 0.2370 0.2370 0.1328  1.77
Y: 0.4482 0.4482 0.6255  -0.06

***

(5)
A plane-wave DFT calculation with PBE was carried out for an optimized crystal structure of CrSb.

M_tot   0.0 μB per formula unit
N(E_F)   2.22 states/eV/cell
Formation energy without anion corrections   242.7 meV per atom
Space group   R-3m (166)
Volume   83.29 Å³/cell

a = 6.5157 Å, b = 6.5157 Å, c = 6.5157 Å
α = 35.48°, β = 35.48°, γ = 35.48°
Fractional coordinates of all 4 atoms:
Cr: 0.6656 0.6656 0.6656
Cr: 0.3344 0.3344 0.3344
Sb: 0.9087 0.9087 0.9087
Sb: 0.0913 0.0913 0.0913

***

(6)
A plane-wave DFT calculation with PBE was carried out for an optimized crystal structure of SbPdS2I.

M_tot   0.0 μB per formula unit
N(E_F)   6.06 states/eV/cell
Formation energy without anion corrections   1194.8 meV per atom
Space group   P4/mmm (123)
Volume   147.10 Å³/cell

a = 4.9801 Å, b = 5.9313 Å, c = 4.9801 Å
α = 90.00°, β = 90.00°, γ = 90.00°
Fractional coordinates of all 5 atoms:
Pd: 0.5000 0.5000 0.5000
I: 0.0000 0.0000 0.0000
S: 0.5000 0.0000 0.0000
S: 0.0000 0.0000 0.5000
Sb: 0.0000 0.5000 0.0000

***

Listing calculated total energy for the structures above in their given order: -6.989 -2.048 -3.846 -6.031 -6.630 -2.629 eV/atom.